Here is an optimized crystal structure of TbCeDy6 from Alexandria via LeMat-Bulk. Energies are from PBE.

Results
The calculation puts the energy relative to the lowest polymorph listed for this composition at 178.6 meV/atom. The crystal system is triclinic.

Lattice parameters (Å, degrees): 6.7524 6.4644 6.9450 76.92 60.18 89.21
Closest atoms and distances in Å follow each position.
Positions (direct):
1 Tb 0.0000 0.0000 0.0000  2 Ce 3.23, 4 Dy 3.38-3.47
2 Ce 0.0000 0.5000 0.0000  2 Tb 3.23, 4 Dy 3.37-3.42
3 Dy 0.0939 0.7665 0.4798  6 Dy 3.25-3.63, 1 Ce 3.37
4 Dy 0.5742 0.7290 0.5230  5 Dy 3.26-3.62, 1 Tb 3.38, 1 Ce 3.66
5 Dy 0.4258 0.2710 0.4770  5 Dy 3.26-3.62, 1 Tb 3.38, 1 Ce 3.66
6 Dy 0.9061 0.2335 0.5202  6 Dy 3.25-3.63, 1 Ce 3.37
7 Dy 0.5495 0.7494 0.9998  5 Dy 3.25-3.63, 1 Ce 3.42, 1 Tb 3.47
8 Dy 0.4505 0.2506 0.0002  5 Dy 3.25-3.63, 1 Ce 3.42, 1 Tb 3.47

Here is an optimized crystal structure of BeVOs2 from Alexandria via LeMat-Bulk. Energies are from PBE.

Results
The crystal system is tetragonal.

Lattice parameters (Å, degrees): 6.9210 6.9210 5.3950 50.10 50.10 90.00
Closest atoms and distances in Å follow each position.
Positions (direct):
1 Be 0.5000 0.5000 0.0000  4 Os 2.15, 2 V 2.27
2 Be 0.2500 0.7500 0.5000  4 Os 2.15, 2 V 2.27
3 Os 0.5398 0.1250 0.2500  2 Be 2.15
4 Os 0.2102 0.6250 0.2500  2 Be 2.15
5 Os 0.3750 0.4602 0.7500  2 Be 2.15
6 Os 0.8750 0.7898 0.7500  2 Be 2.15
7 V 0.0000 0.0000 0.0000  2 Be 2.27
8 V 0.7500 0.2500 0.5000  2 Be 2.27

Here is an optimized crystal structure of B2C3 from Alexandria via LeMat-Bulk. Energies are from PBE.

Results
The calculation puts the energy relative to the lowest polymorph listed for this composition at 58.8 meV/atom. The crystal system is orthorhombic.

Lattice parameters (Å, degrees): 10.5115 10.5115 10.5115 166.60 166.01 19.42
Closest atoms and distances in Å follow each position.
Positions (direct):
1 B 0.5708 0.3208 0.7500  2 C 1.65, 2 B 1.83
2 B 0.6362 0.8862 0.2500  2 C 1.64, 2 B 1.83
3 B 0.3638 0.1138 0.7500  2 C 1.64, 2 B 1.83
4 B 0.4292 0.6792 0.2500  2 C 1.65, 2 B 1.83
5 C 0.1853 0.9353 0.7500  2 C 1.50, 2 B 1.64
6 C 0.2271 0.4771 0.2500  4 C 1.50-1.59
7 C 0.9797 0.7297 0.7500  2 C 1.49, 2 B 1.65
8 C 0.0203 0.2703 0.2500  2 C 1.49, 2 B 1.65
9 C 0.7729 0.5229 0.7500  4 C 1.50-1.59
10 C 0.8147 0.0647 0.2500  2 C 1.50, 2 B 1.64

Number 1: electronic total energy -36.4 eV per cell, DOS(E_F) 16.68 states/eV per cell. Number 2: electronic total energy -66.9 eV per cell, DOS(E_F) 10.87 states/eV per cell. Number 3: electronic total energy -79.1 eV per cell, DOS(E_F) 1.48 states/eV per cell.